No. 1
Computed, not measured: a relaxed structure of Sm2TmBr at the PBE level of DFT.

Summary:
The energy relative to the elements, uncorrected comes out at -1.82 eV/f.u. The calculated volume is 120 Å³ per cell. Its magnetization is 0.00 μB/cell. The relative energy among the computed polymorphs comes out at 77 meV per atom.

Cell and atoms, written as CIF:
```
data_Sm2TmBr
_space_group_name_H-M_alt 'P 1'
_space_group_IT_number 1
_cell_length_a 3.549
_cell_length_b 3.549
_cell_length_c 9.565
_cell_angle_alpha 90.00
_cell_angle_beta 90.00
_cell_angle_gamma 90.00
loop_
_space_group_symop_operation_xyz
'x,y,z'
loop_
_atom_site_label
_atom_site_fract_x
_atom_site_fract_y
_atom_site_fract_z
Sm1 0.000 0.000 0.237
Sm2 0.000 0.000 0.763
Tm1 0.500 0.500 0.500
Br1 0.500 0.500 0.000
```


No. 2
Computed, not measured: a relaxed structure of La2MnAs4Rh3 at the PBE level of DFT.

Summary:
The energy of formation from the pure elements is -9.06 eV/f.u. The calculated volume is 191 Å³ per cell. Its magnetization is 3.48 μB/cell.

Cell and atoms, written as CIF:
```
data_La2MnAs4Rh3
_space_group_name_H-M_alt 'P 1'
_space_group_IT_number 1
_cell_length_a 4.337
_cell_length_b 4.337
_cell_length_c 10.136
_cell_angle_alpha 90.00
_cell_angle_beta 90.00
_cell_angle_gamma 90.00
loop_
_space_group_symop_operation_xyz
'x,y,z'
loop_
_atom_site_label
_atom_site_fract_x
_atom_site_fract_y
_atom_site_fract_z
As1 0.500 0.500 0.000
As2 0.000 0.500 0.365
As3 0.000 0.000 0.000
As4 0.500 0.000 0.635
Rh1 0.000 0.500 0.119
Rh2 0.500 0.000 0.881
Rh3 0.000 0.000 0.500
La1 0.500 0.000 0.243
La2 0.000 0.500 0.757
Mn1 0.500 0.500 0.500
```


No. 3
Computed, not measured: a relaxed structure of CoSeI3 at the PBE level of DFT.

Summary:
The energy relative to the elements, uncorrected comes out at 2.55 eV/f.u. The calculated volume is 141 Å³ per cell. Its magnetization is 0.83 μB/cell. The relative energy among the computed polymorphs comes out at 0 meV per atom.

Cell and atoms, written as CIF:
```
data_CoSeI3
_space_group_name_H-M_alt 'P 1'
_space_group_IT_number 1
_cell_length_a 5.211
_cell_length_b 5.211
_cell_length_c 5.211
_cell_angle_alpha 90.00
_cell_angle_beta 90.00
_cell_angle_gamma 90.00
loop_
_space_group_symop_operation_xyz
'x,y,z'
loop_
_atom_site_label
_atom_site_fract_x
_atom_site_fract_y
_atom_site_fract_z
I1 0.500 0.000 0.000
I2 0.000 0.000 0.500
I3 0.000 0.500 0.000
Se1 0.500 0.500 0.500
Co1 0.000 0.000 0.000
```


No. 4
Computed, not measured: a relaxed structure of La2ScSe at the PBE level of DFT.

Summary:
The energy relative to the elements, uncorrected comes out at -3.04 eV/f.u. The calculated volume is 114 Å³ per cell. Its magnetization is 0.00 μB/cell.

Cell and atoms, written as CIF:
```
data_La2ScSe
_space_group_name_H-M_alt 'P 1'
_space_group_IT_number 1
_cell_length_a 4.695
_cell_length_b 4.086
_cell_length_c 6.262
_cell_angle_alpha 71.06
_cell_angle_beta 90.00
_cell_angle_gamma 90.00
loop_
_space_group_symop_operation_xyz
'x,y,z'
loop_
_atom_site_label
_atom_site_fract_x
_atom_site_fract_y
_atom_site_fract_z
La1 0.500 0.273 0.328
La2 0.000 0.978 0.922
Se1 0.500 0.555 0.766
Sc1 0.000 0.694 0.484
```


No. 5
Computed, not measured: a relaxed structure of NaSrMg2Hg2 at the PBE level of DFT.

Summary:
The energy of formation from the pure elements is -1.68 eV/f.u. The calculated volume is 163 Å³ per cell. Its magnetization is 0.00 μB/cell.

Cell and atoms, written as CIF:
```
data_NaSrMg2Hg2
_space_group_name_H-M_alt 'P 1'
_space_group_IT_number 1
_cell_length_a 5.042
_cell_length_b 5.042
_cell_length_c 7.399
_cell_angle_alpha 90.00
_cell_angle_beta 90.00
_cell_angle_gamma 120.00
loop_
_space_group_symop_operation_xyz
'x,y,z'
loop_
_atom_site_label
_atom_site_fract_x
_atom_site_fract_y
_atom_site_fract_z
Mg1 0.333 0.667 0.681
Mg2 0.667 0.333 0.319
Sr1 0.000 0.000 0.000
Hg1 0.333 0.667 0.268
Hg2 0.667 0.333 0.732
Na1 0.000 0.000 0.500
```


No. 6
Computed, not measured: a relaxed structure of Ac2AlTl at the PBE level of DFT.

Summary:
The energy of formation from the pure elements is -1.14 eV/f.u. The calculated volume is 133 Å³ per cell. Its magnetization is 0.00 μB/cell.

Cell and atoms, written as CIF:
```
data_Ac2AlTl
_space_group_name_H-M_alt 'P 1'
_space_group_IT_number 1
_cell_length_a 3.996
_cell_length_b 3.996
_cell_length_c 8.317
_cell_angle_alpha 90.00
_cell_angle_beta 90.00
_cell_angle_gamma 90.00
loop_
_space_group_symop_operation_xyz
'x,y,z'
loop_
_atom_site_label
_atom_site_fract_x
_atom_site_fract_y
_atom_site_fract_z
Ac1 0.000 0.000 0.236
Ac2 0.000 0.000 0.764
Tl1 0.500 0.500 0.500
Al1 0.500 0.500 0.000
```


- What is the calculated volume in the second record?
  191 Å³ per cell


- Among the records above, which one has the highest magnetization?
  La2MnAs4Rh3


- Which of these has the highest magnetization?
  La2MnAs4Rh3


- Which of these has the highest calculated volume?
  La2MnAs4Rh3